Entry 1:
# Li3NdSb2 meta-GGA SCAN single point on PBEsol structure
# Raw formation energy = -917 meV per atom
# Symmetry = P-3m1
data_Li3NdSb2
_cell_length_a 4.546
_cell_length_b 4.546
_cell_length_c 7.214
_cell_angle_alpha 90.00
_cell_angle_beta 90.00
_cell_angle_gamma 120.00
_space_group_name_H-M_alt 'P 1'
_space_group_IT_number 1
loop_
_space_group_symop_operation_xyz
'x,y,z'
loop_
_atom_site_label
_atom_site_fract_x
_atom_site_fract_y
_atom_site_fract_z
Sb1 0.333 0.667 0.255
Sb2 0.667 0.333 0.745
Nd1 0.000 0.000 0.000
Li1 0.000 0.000 0.500
Li2 0.333 0.667 0.649
Li3 0.667 0.333 0.351

---

Entry 2:
# LiNdSe2 meta-GGA SCAN single point on PBEsol structure
# Raw formation energy = -1813 meV per atom
# Symmetry = P4/mmm
data_LiNdSe2
_cell_length_a 4.144
_cell_length_b 4.144
_cell_length_c 5.697
_cell_angle_alpha 90.00
_cell_angle_beta 90.00
_cell_angle_gamma 90.00
_space_group_name_H-M_alt 'P 1'
_space_group_IT_number 1
loop_
_space_group_symop_operation_xyz
'x,y,z'
loop_
_atom_site_label
_atom_site_fract_x
_atom_site_fract_y
_atom_site_fract_z
Nd1 0.500 0.500 0.500
Se1 0.000 0.000 0.500
Se2 0.500 0.500 0.000
Li1 0.000 0.000 0.000

---

Entry 3:
# LiNdSe2 meta-GGA SCAN single point on PBEsol structure
# Raw formation energy = -1874 meV per atom
# Symmetry = I4_1/amd
data_LiNdSe2
_cell_length_a 5.801
_cell_length_b 5.801
_cell_length_c 7.109
_cell_angle_alpha 114.08
_cell_angle_beta 114.08
_cell_angle_gamma 90.00
_space_group_name_H-M_alt 'P 1'
_space_group_IT_number 1
loop_
_space_group_symop_operation_xyz
'x,y,z'
loop_
_atom_site_label
_atom_site_fract_x
_atom_site_fract_y
_atom_site_fract_z
Nd1 0.000 0.000 0.000
Nd2 0.250 0.750 0.500
Se1 0.251 0.251 0.502
Se2 0.501 0.001 0.002
Se3 0.749 0.749 0.498
Se4 0.999 0.499 0.998
Li1 0.500 0.500 0.000
Li2 0.750 0.250 0.500

---

Entry 4:
# Li2Nd2Si3 meta-GGA SCAN single point on PBEsol structure
# Raw formation energy = -650 meV per atom
# Symmetry = Cmcm
data_Li2Nd2Si3
_cell_length_a 4.358
_cell_length_b 6.743
_cell_length_c 9.421
_cell_angle_alpha 90.00
_cell_angle_beta 103.38
_cell_angle_gamma 90.00
_space_group_name_H-M_alt 'P 1'
_space_group_IT_number 1
loop_
_space_group_symop_operation_xyz
'x,y,z'
loop_
_atom_site_label
_atom_site_fract_x
_atom_site_fract_y
_atom_site_fract_z
Li1 0.188 0.061 0.377
Li2 0.188 0.439 0.377
Li3 0.812 0.939 0.623
Li4 0.812 0.561 0.623
Nd1 0.342 0.250 0.684
Nd2 0.658 0.750 0.316
Nd3 0.552 0.250 0.103
Nd4 0.448 0.750 0.897
Si1 0.720 0.250 0.440
Si2 0.280 0.750 0.560
Si3 0.058 0.926 0.117
Si4 0.942 0.074 0.883
Si5 0.942 0.426 0.883
Si6 0.058 0.574 0.117

---

Entry 5:
# LiNd2Si2 meta-GGA SCAN single point on PBEsol structure
# Raw formation energy = -628 meV per atom
# Symmetry = P4/mbm
data_LiNd2Si2
_cell_length_a 4.256
_cell_length_b 7.343
_cell_length_c 7.343
_cell_angle_alpha 90.00
_cell_angle_beta 90.00
_cell_angle_gamma 90.00
_space_group_name_H-M_alt 'P 1'
_space_group_IT_number 1
loop_
_space_group_symop_operation_xyz
'x,y,z'
loop_
_atom_site_label
_atom_site_fract_x
_atom_site_fract_y
_atom_site_fract_z
Si1 0.000 0.885 0.615
Si2 0.000 0.115 0.385
Si3 0.000 0.385 0.885
Si4 0.000 0.615 0.115
Nd1 0.500 0.681 0.819
Nd2 0.500 0.319 0.181
Nd3 0.500 0.181 0.681
Nd4 0.500 0.819 0.319
Li1 0.000 0.000 0.000
Li2 0.000 0.500 0.500

---

Entry 6:
# LiNdSn meta-GGA SCAN single point on PBEsol structure
# Symmetry = F-43m
# Formation enthalpy at 0 K = -1.77 eV/f.u.
data_LiNdSn
_cell_length_a 4.695
_cell_length_b 4.695
_cell_length_c 4.695
_cell_angle_alpha 60.00
_cell_angle_beta 60.00
_cell_angle_gamma 60.00
_space_group_name_H-M_alt 'P 1'
_space_group_IT_number 1
loop_
_space_group_symop_operation_xyz
'x,y,z'
loop_
_atom_site_label
_atom_site_fract_x
_atom_site_fract_y
_atom_site_fract_z
Li1 0.750 0.750 0.750
Nd1 0.500 0.500 0.500
Sn1 0.000 0.000 0.000

---

Entry 7:
# LiNdSn meta-GGA SCAN single point on PBEsol structure
# Symmetry = P6_3mc
# Formation enthalpy at 0 K = -2.28 eV/f.u.
data_LiNdSn
_cell_length_a 7.567
_cell_length_b 9.430
_cell_length_c 9.430
_cell_angle_alpha 120.00
_cell_angle_beta 90.00
_cell_angle_gamma 90.00
_space_group_name_H-M_alt 'P 1'
_space_group_IT_number 1
loop_
_space_group_symop_operation_xyz
'x,y,z'
loop_
_atom_site_label
_atom_site_fract_x
_atom_site_fract_y
_atom_site_fract_z
Li1 0.214 0.667 0.833
Li2 0.214 0.167 0.833
Li3 0.214 0.167 0.333
Li4 0.714 0.333 0.167
Li5 0.714 0.833 0.167
Li6 0.714 0.833 0.667
Li7 0.821 0.333 0.667
Li8 0.321 0.667 0.333
Nd1 0.005 0.978 0.489
Nd2 0.005 0.511 0.489
Nd3 0.005 0.511 0.022
Nd4 0.505 0.022 0.511
Nd5 0.505 0.489 0.511
Nd6 0.505 0.489 0.978
Nd7 0.002 0.000 0.000
Nd8 0.502 0.000 0.000
Sn1 0.771 0.667 0.833
Sn2 0.771 0.167 0.833
Sn3 0.771 0.167 0.333
Sn4 0.271 0.333 0.167
Sn5 0.271 0.833 0.167
Sn6 0.271 0.833 0.667
Sn7 0.236 0.333 0.667
Sn8 0.736 0.667 0.333

---

Entry 8:
# LiNdTl2 meta-GGA SCAN single point on PBEsol structure
# Symmetry = Fm-3m
# Formation enthalpy at 0 K = -2.04 eV/f.u.
data_LiNdTl2
_cell_length_a 5.198
_cell_length_b 5.198
_cell_length_c 5.198
_cell_angle_alpha 60.00
_cell_angle_beta 60.00
_cell_angle_gamma 60.00
_space_group_name_H-M_alt 'P 1'
_space_group_IT_number 1
loop_
_space_group_symop_operation_xyz
'x,y,z'
loop_
_atom_site_label
_atom_site_fract_x
_atom_site_fract_y
_atom_site_fract_z
Tl1 0.250 0.250 0.250
Tl2 0.750 0.750 0.750
Nd1 0.000 0.000 0.000
Li1 0.500 0.500 0.500

---

Number 1: uncorrected energy -21.7960 eV/atom. Number 2: uncorrected energy -23.3449 eV/atom. Number 3: uncorrected energy -23.4059 eV/atom. Number 4: uncorrected energy -18.0777 eV/atom. Number 5: uncorrected energy -22.5454 eV/atom. Number 6: uncorrected energy -27.8882 eV/atom. Number 7: uncorrected energy -28.0580 eV/atom. Number 8: uncorrected energy -48.1827 eV/atom.